No. 1
## BaMg2Se (meta-GGA SCAN)

Data for a crystal of BaMg2Se relaxed with PBEsol.

a b c (Å): 4.477 4.477 12.329
angles (deg): 90.00 90.00 90.00
Fractional coordinates of all 8 atoms:
Ba  0.000  0.000  0.000
Ba  0.500  0.500  0.500
Mg  0.000  0.500  0.250
Mg  0.000  0.500  0.750
Mg  0.500  0.000  0.250
Mg  0.500  0.000  0.750
Se  0.000  0.000  0.500
Se  0.500  0.500  0.000

Calculated values
space-group type: I4/mmm (139)
formation energy without anion corrections: -0.61 eV per atom
E_tot: -144.05 eV per cell
D(E_F): 0.3724 states/eV per atom

=====

No. 2
## BaMg3Se (meta-GGA SCAN)

Data for a crystal of BaMg3Se relaxed with PBEsol.

a b c (Å): 5.388 5.388 5.388
angles (deg): 90.00 90.00 90.00
Fractional coordinates of all 5 atoms:
Ba  0.000  0.000  0.000
Mg  0.000  0.500  0.500
Mg  0.500  0.000  0.500
Mg  0.500  0.500  0.000
Se  0.500  0.500  0.500

Calculated values
space-group type: Pm-3m (221)
formation energy without anion corrections: -0.10 eV per atom
E_tot: -75.04 eV per cell
D(E_F): 0.5226 states/eV per atom

=====

No. 3
## BaMgSe2 (meta-GGA SCAN)

Data for a crystal of BaMgSe2 relaxed with PBEsol.

a b c (Å): 3.665 3.665 7.451
angles (deg): 90.00 90.00 90.00
Fractional coordinates of all 4 atoms:
Ba  0.000  0.000  0.000
Mg  0.000  0.000  0.500
Se  0.500  0.500  0.279
Se  0.500  0.500  0.721

Calculated values
space-group type: P4/mmm (123)
formation energy without anion corrections: -1.34 eV per atom
E_tot: -90.04 eV per cell
D(E_F): 0.0063 states/eV per atom

=====

No. 4
## BaMgSe2 (meta-GGA SCAN)

Data for a crystal of BaMgSe2 relaxed with PBEsol.

a b c (Å): 4.297 4.297 12.004
angles (deg): 90.00 90.00 90.00
Fractional coordinates of all 8 atoms:
Ba  0.000  0.000  0.000
Ba  0.500  0.500  0.500
Mg  0.000  0.500  0.250
Mg  0.500  0.000  0.750
Se  0.000  0.000  0.500
Se  0.000  0.500  0.750
Se  0.500  0.000  0.250
Se  0.500  0.500  0.000

Calculated values
space-group type: I-4m2 (119)
formation energy without anion corrections: -1.14 eV per atom
E_tot: -178.46 eV per cell
D(E_F): 0.1954 states/eV per atom

=====

No. 5
## BaMgSe (meta-GGA SCAN)

Data for a crystal of BaMgSe relaxed with PBEsol.

a b c (Å): 7.639 7.639 7.639
angles (deg): 90.00 90.00 90.00
Fractional coordinates of all 12 atoms:
Ba  0.000  0.000  0.000
Ba  0.000  0.500  0.500
Ba  0.500  0.000  0.500
Ba  0.500  0.500  0.000
Mg  0.250  0.250  0.750
Mg  0.250  0.750  0.250
Mg  0.750  0.250  0.250
Mg  0.750  0.750  0.750
Se  0.250  0.250  0.250
Se  0.250  0.750  0.750
Se  0.750  0.250  0.750
Se  0.750  0.750  0.250

Calculated values
space-group type: F-43m (216)
formation energy without anion corrections: -0.67 eV per atom
E_tot: -266.46 eV per cell

=====

No. 6
## Ba2Mg3Si4 (meta-GGA SCAN)

Data for a crystal of Ba2Mg3Si4 relaxed with PBEsol.

a b c (Å): 6.441 6.441 15.548
angles (deg): 94.64 94.64 41.63
Fractional coordinates of all 18 atoms:
Ba  0.059  0.059  0.365
Ba  0.158  0.158  0.090
Ba  0.842  0.842  0.910
Ba  0.941  0.941  0.635
Mg  0.107  0.107  0.846
Mg  0.220  0.220  0.569
Mg  0.338  0.338  0.295
Mg  0.662  0.662  0.705
Mg  0.780  0.780  0.431
Mg  0.893  0.893  0.154
Si  0.281  0.281  0.746
Si  0.402  0.402  0.471
Si  0.439  0.439  0.057
Si  0.476  0.476  0.796
Si  0.524  0.524  0.204
Si  0.561  0.561  0.943
Si  0.598  0.598  0.529
Si  0.719  0.719  0.254

Calculated values
space-group type: C2/m (12)
formation energy without anion corrections: -0.37 eV per atom
E_tot: -274.92 eV per cell
D(E_F): 0.1868 states/eV per atom

=====

No. 7
## Ba2MgSi (meta-GGA SCAN)

Data for a crystal of Ba2MgSi relaxed with PBEsol.

a b c (Å): 3.757 4.376 8.345
angles (deg): 90.00 90.00 90.00
Fractional coordinates of all 4 atoms:
Ba  0.000  0.000  0.210
Ba  0.000  0.000  0.790
Mg  0.500  0.500  0.500
Si  0.500  0.500  0.000

Calculated values
space-group type: Pmmm (47)
formation energy without anion corrections: -0.11 eV per atom
E_tot: -94.52 eV per cell
D(E_F): 0.5863 states/eV per atom

=====

No. 8
## BaMgSi (meta-GGA SCAN)

Data for a crystal of BaMgSi relaxed with PBEsol.

a b c (Å): 7.039 7.039 7.039
angles (deg): 90.00 90.00 90.00
Fractional coordinates of all 12 atoms:
Ba  0.000  0.000  0.000
Ba  0.000  0.500  0.500
Ba  0.500  0.000  0.500
Ba  0.500  0.500  0.000
Mg  0.250  0.250  0.750
Mg  0.250  0.750  0.250
Mg  0.750  0.250  0.250
Mg  0.750  0.750  0.750
Si  0.000  0.000  0.500
Si  0.000  0.500  0.000
Si  0.500  0.000  0.000
Si  0.500  0.500  0.500

Calculated values
space-group type: F-43m (216)
formation energy without anion corrections: 0.04 eV per atom
E_tot: -217.71 eV per cell
D(E_F): 0.0811 states/eV per atom